Entry P
Computed, not measured: a geometry-optimized ErTiIn structure at the PBE-GGA level of DFT.

Computed properties:
Total moment = 2.09 μB per formula unit
Calculated volume = 68 Å³ per cell
Crystal system = hexagonal
Symmetry = P-6m2, No. 187

```
ErTiIn
1.0
3.083 0.000 0.000
0.000 5.060 0.000
0.000 -2.530 4.382
Er In Ti
1 1 1
Direct
0.167 0.000 0.000 Er
0.667 0.667 0.333 In
0.166 0.333 0.667 Ti
```


Entry Q
Computed, not measured: a geometry-optimized ErTiIn structure at the PBE-GGA level of DFT.

Computed properties:
Total moment = 0.82 μB per formula unit
Calculated volume = 145 Å³ per cell
Crystal system = tetragonal
Symmetry = P4/nmm, No. 129

```
ErTiIn
1.0
4.250 0.022 0.000
-0.023 4.250 0.000
0.000 0.000 8.026
In Ti Er
2 2 2
Direct
0.336 0.836 0.247 In
0.836 0.336 0.753 In
0.336 0.336 0.500 Ti
0.836 0.836 0.500 Ti
0.836 0.336 0.160 Er
0.336 0.836 0.840 Er
```


The data favor entry Q; the next most stable structure lies 254 meV per atom above it.


Entry P
Computed, not measured: a geometry-optimized Er6Tl3In structure at the PBE-GGA level of DFT.

Computed properties:
Total moment = 0.00 μB per formula unit
Calculated volume = 579 Å³ per cell
Crystal system = monoclinic
Symmetry = P2_1/m, No. 11

```
Er6Tl3In
1.0
3.637 0.000 0.000
0.000 11.754 0.202
0.000 -3.769 13.483
Tl Er In
6 12 2
Direct
0.750 0.111 0.056 Tl
0.750 0.383 0.866 Tl
0.750 0.643 0.515 Tl
0.250 0.889 0.944 Tl
0.250 0.617 0.134 Tl
0.250 0.357 0.485 Tl
0.750 0.124 0.466 Er
0.750 0.509 0.680 Er
0.250 0.876 0.534 Er
0.750 0.812 0.754 Er
0.250 0.142 0.877 Er
0.750 0.386 0.093 Er
0.250 0.264 0.675 Er
0.250 0.614 0.907 Er
0.250 0.491 0.320 Er
0.750 0.858 0.123 Er
0.250 0.188 0.246 Er
0.750 0.736 0.325 Er
0.750 0.046 0.683 In
0.250 0.954 0.317 In
```


Entry Q
Computed, not measured: a geometry-optimized Er6Tl3In structure at the PBE-GGA level of DFT.

Computed properties:
Total moment = 0.02 μB per formula unit
Calculated volume = 553 Å³ per cell
Crystal system = monoclinic
Symmetry = P2_1/m, No. 11

```
Er6Tl3In
1.0
5.123 0.000 0.000
0.000 9.437 -2.627
0.000 0.357 11.332
Tl Er In
6 12 2
Direct
0.750 0.214 0.033 Tl
0.250 0.786 0.967 Tl
0.250 0.531 0.390 Tl
0.750 0.620 0.206 Tl
0.750 0.469 0.610 Tl
0.250 0.380 0.794 Tl
0.750 0.871 0.811 Er
0.250 0.241 0.506 Er
0.250 0.129 0.189 Er
0.250 0.837 0.309 Er
0.250 0.651 0.680 Er
0.750 0.349 0.320 Er
0.250 0.107 0.886 Er
0.750 0.893 0.114 Er
0.750 0.555 0.909 Er
0.750 0.759 0.494 Er
0.750 0.163 0.691 Er
0.250 0.445 0.091 Er
0.750 0.057 0.384 In
0.250 0.943 0.616 In
```


The data favor entry Q; the next most stable structure lies 96 meV per atom above it.


Entry P
Computed, not measured: a geometry-optimized Er3Tl2In2 structure at the PBE-GGA level of DFT.

Computed properties:
Total moment = 0.00 μB per formula unit
Calculated volume = 184 Å³ per cell
Crystal system = orthorhombic
Symmetry = Cmmm, No. 65

```
Er3Tl2In2
1.0
4.564 0.000 0.606
0.000 3.478 0.000
0.771 0.000 11.687
Tl Er In
2 3 2
Direct
0.427 0.500 0.145 Tl
0.573 0.500 0.855 Tl
0.846 0.000 0.308 Er
0.154 0.000 0.692 Er
0.000 0.000 0.000 Er
0.713 0.500 0.575 In
0.287 0.500 0.425 In
```


Entry Q
Computed, not measured: a geometry-optimized Er3Tl2In2 structure at the PBE-GGA level of DFT.

Computed properties:
Total moment = 0.64 μB per formula unit
Calculated volume = 188 Å³ per cell
Crystal system = orthorhombic
Symmetry = Immm, No. 71

```
Er3Tl2In2
1.0
4.877 0.000 0.000
0.000 3.620 0.000
-2.438 -1.810 10.642
In Er Tl
2 3 2
Direct
0.152 0.652 0.303 In
0.848 0.348 0.697 In
0.701 0.201 0.401 Er
0.000 0.000 0.000 Er
0.299 0.799 0.599 Er
0.430 0.430 0.861 Tl
0.570 0.570 0.139 Tl
```


The data favor entry P; the next most stable structure lies 60 meV per atom above it.


Entry P
Computed, not measured: a geometry-optimized Er4TlIn3 structure at the PBE-GGA level of DFT.

Computed properties:
Total moment = 0.00 μB per formula unit
Calculated volume = 223 Å³ per cell
Crystal system = orthorhombic
Symmetry = Pmm2, No. 25

```
Er4TlIn3
1.0
-0.819 -3.255 3.115
1.256 -2.984 -2.787
10.686 0.949 3.802
In Er Tl
3 4 1
Direct
0.500 0.000 0.910 In
0.000 0.000 0.411 In
0.000 0.500 0.587 In
0.000 0.000 0.134 Er
0.000 0.500 0.863 Er
0.500 0.500 0.366 Er
0.500 0.000 0.635 Er
0.500 0.500 0.093 Tl
```


Entry Q
Computed, not measured: a geometry-optimized Er4TlIn3 structure at the PBE-GGA level of DFT.

Computed properties:
Total moment = 0.00 μB per formula unit
Calculated volume = 209 Å³ per cell
Crystal system = tetragonal
Symmetry = P4/mmm, No. 123

```
Er4TlIn3
1.0
-1.337 1.066 -3.309
0.042 -3.540 -1.157
-14.097 -1.838 5.104
Er In Tl
4 3 1
Direct
0.000 0.000 0.623 Er
0.000 0.000 0.128 Er
0.000 0.000 0.872 Er
0.000 0.000 0.377 Er
0.500 0.500 0.748 In
0.500 0.500 0.252 In
0.500 0.500 0.500 In
0.500 0.500 0.000 Tl
```


The data favor entry Q; the next most stable structure lies 40 meV per atom above it.


Entry P
Computed, not measured: a geometry-optimized ErTlIn structure at the PBE-GGA level of DFT.

Computed properties:
Total moment = 0.19 μB per formula unit
Calculated volume = 92 Å³ per cell
Crystal system = tetragonal
Symmetry = I4mm, No. 107

```
ErTlIn
1.0
3.318 0.000 0.000
0.000 3.318 0.000
-1.659 -1.659 8.332
In Tl Er
1 1 1
Direct
0.953 0.953 0.906 In
0.129 0.129 0.258 Tl
0.768 0.768 0.537 Er
```


Entry Q
Computed, not measured: a geometry-optimized ErTlIn structure at the PBE-GGA level of DFT.

Computed properties:
Total moment = 0.00 μB per formula unit
Calculated volume = 157 Å³ per cell
Crystal system = orthorhombic
Symmetry = Cmcm, No. 63

```
ErTlIn
1.0
-1.548 4.591 -1.710
-2.905 -4.169 -0.843
-3.282 1.093 5.904
In Er Tl
2 2 2
Direct
0.333 0.167 0.750 In
0.667 0.833 0.250 In
0.000 0.500 0.500 Er
0.000 0.500 0.000 Er
0.666 0.833 0.750 Tl
0.334 0.167 0.250 Tl
```


The data favor entry Q; the next most stable structure lies 342 meV per atom above it.


Entry P
Computed, not measured: a geometry-optimized Er4Tl5In structure at the PBE-GGA level of DFT.

Computed properties:
Total moment = 0.00 μB per formula unit
Calculated volume = 267 Å³ per cell
Crystal system = monoclinic
Symmetry = C2/m, No. 12

```
Er4Tl5In
1.0
-3.322 -3.394 -1.239
4.792 -3.998 -1.896
-1.041 1.082 9.545
Er Tl In
4 5 1
Direct
0.301 0.722 0.602 Er
0.699 0.278 0.398 Er
0.087 0.839 0.173 Er
0.913 0.161 0.827 Er
0.500 0.500 0.000 Tl
0.106 0.367 0.212 Tl
0.705 0.798 0.409 Tl
0.295 0.202 0.591 Tl
0.894 0.633 0.788 Tl
0.500 0.000 0.000 In
```


Entry Q
Computed, not measured: a geometry-optimized Er4Tl5In structure at the PBE-GGA level of DFT.

Computed properties:
Total moment = 0.00 μB per formula unit
Calculated volume = 595 Å³ per cell
Crystal system = orthorhombic
Symmetry = Pmmn, No. 59

```
Er4Tl5In
1.0
-6.285 -2.425 3.737
4.746 -8.782 2.284
2.610 3.069 6.380
Tl Er In
10 8 2
Direct
0.186 0.195 0.800 Tl
0.814 0.305 0.700 Tl
0.186 0.195 0.200 Tl
0.114 0.000 0.500 Tl
0.814 0.305 0.300 Tl
0.186 0.805 0.800 Tl
0.886 0.500 0.000 Tl
0.814 0.695 0.300 Tl
0.814 0.695 0.700 Tl
0.186 0.805 0.200 Tl
0.482 0.183 0.500 Er
0.204 0.500 0.753 Er
0.204 0.500 0.247 Er
0.796 0.000 0.253 Er
0.518 0.317 0.000 Er
0.796 0.000 0.747 Er
0.482 0.817 0.500 Er
0.518 0.683 0.000 Er
0.530 0.500 0.500 In
0.470 0.000 0.000 In
```


The data favor entry P; the next most stable structure lies 256 meV per atom above it.


Entry P
Computed, not measured: a geometry-optimized Er3TlIn2 structure at the PBE-GGA level of DFT.

Computed properties:
Total moment = 0.00 μB per formula unit
Calculated volume = 158 Å³ per cell
Crystal system = trigonal
Symmetry = P-3m1, No. 164

```
Er3TlIn2
1.0
-1.528 0.249 -5.066
-1.307 -4.196 2.958
-5.480 2.976 1.800
Er In Tl
3 2 1
Direct
0.333 0.667 0.166 Er
0.000 0.000 0.500 Er
0.667 0.333 0.834 Er
0.667 0.333 0.335 In
0.333 0.667 0.665 In
0.000 0.000 0.000 Tl
```


Entry Q
Computed, not measured: a geometry-optimized Er3TlIn2 structure at the PBE-GGA level of DFT.

Computed properties:
Total moment = 0.00 μB per formula unit
Calculated volume = 158 Å³ per cell
Crystal system = tetragonal
Symmetry = P4/mmm, No. 123

```
Er3TlIn2
1.0
3.625 0.000 0.000
0.000 3.625 0.000
0.000 0.000 12.012
Er In Tl
3 2 1
Direct
0.000 0.000 0.670 Er
0.000 0.000 0.000 Er
0.000 0.000 0.330 Er
0.500 0.500 0.166 In
0.500 0.500 0.834 In
0.500 0.500 0.500 Tl
```


The data favor entry Q; the next most stable structure lies 9 meV per atom above it.


Entry P
Computed, not measured: a geometry-optimized Er6TlIn5 structure at the PBE-GGA level of DFT.

Computed properties:
Total moment = 0.00 μB per formula unit
Calculated volume = 313 Å³ per cell
Crystal system = orthorhombic
Symmetry = Cmmm, No. 65

```
Er6TlIn5
1.0
5.031 -0.030 1.677
0.040 7.424 0.013
0.001 -0.015 8.383
In Er Tl
5 6 1
Direct
0.667 0.500 0.667 In
0.333 0.000 0.334 In
0.000 0.500 0.000 In
0.333 0.500 0.333 In
0.667 0.000 0.666 In
0.833 0.749 0.334 Er
0.833 0.251 0.334 Er
0.500 0.749 0.000 Er
0.167 0.251 0.666 Er
0.167 0.749 0.666 Er
0.500 0.251 0.000 Er
0.000 0.000 0.000 Tl
```


Entry Q
Computed, not measured: a geometry-optimized Er6TlIn5 structure at the PBE-GGA level of DFT.

Computed properties:
Total moment = 0.00 μB per formula unit
Calculated volume = 336 Å³ per cell
Crystal system = monoclinic
Symmetry = C2/m, No. 12

```
Er6TlIn5
1.0
9.873 -0.803 0.000
1.822 6.078 0.000
0.911 3.039 5.464
Tl Er In
1 6 5
Direct
0.000 0.000 0.000 Tl
0.250 0.917 0.665 Er
0.750 0.418 0.665 Er
0.250 0.251 0.000 Er
0.250 0.582 0.335 Er
0.750 0.749 0.000 Er
0.750 0.083 0.335 Er
0.000 0.333 0.333 In
0.000 0.667 0.667 In
0.500 0.834 0.333 In
0.500 0.166 0.667 In
0.500 0.500 0.000 In
```


The data favor entry P; the next most stable structure lies 105 meV per atom above it.


Entry P
Computed, not measured: a geometry-optimized Er4Tl2In structure at the PBE-GGA level of DFT.

Computed properties:
Total moment = 0.00 μB per formula unit
Calculated volume = 202 Å³ per cell
Crystal system = trigonal
Symmetry = R-3m, No. 166

```
Er4Tl2In
1.0
-2.391 -0.036 -4.636
0.843 -3.918 -3.339
-7.085 -5.647 0.763
Tl Er In
2 4 1
Direct
0.754 0.754 0.738 Tl
0.246 0.246 0.262 Tl
0.874 0.874 0.379 Er
0.379 0.379 0.864 Er
0.126 0.126 0.621 Er
0.621 0.621 0.136 Er
0.000 0.000 0.000 In
```


Entry Q
Computed, not measured: a geometry-optimized Er4Tl2In structure at the PBE-GGA level of DFT.

Computed properties:
Total moment = 0.00 μB per formula unit
Calculated volume = 406 Å³ per cell
Crystal system = monoclinic
Symmetry = P2_1/m, No. 11

```
Er4Tl2In
1.0
-0.054 5.844 -4.400
-5.967 -1.712 -2.200
-3.532 1.204 8.644
Tl Er In
4 8 2
Direct
0.771 0.750 0.057 Tl
0.616 0.750 0.547 Tl
0.384 0.250 0.453 Tl
0.229 0.250 0.943 Tl
0.959 0.250 0.156 Er
0.032 0.750 0.456 Er
0.558 0.496 0.224 Er
0.968 0.250 0.544 Er
0.442 0.996 0.776 Er
0.041 0.750 0.844 Er
0.442 0.504 0.776 Er
0.558 0.004 0.224 Er
0.791 0.250 0.785 In
0.209 0.750 0.215 In
```


The data favor entry P; the next most stable structure lies 79 meV per atom above it.


Entry P
Computed, not measured: a geometry-optimized Er3Tm3In2 structure at the PBE-GGA level of DFT.

Computed properties:
Total moment = 0.00 μB per formula unit
Calculated volume = 220 Å³ per cell
Crystal system = orthorhombic
Symmetry = Pmmm, No. 47

```
Er3Tm3In2
1.0
4.793 0.000 0.000
0.000 4.789 0.000
0.000 0.000 9.576
In Tm Er
2 3 3
Direct
0.000 0.000 0.250 In
0.000 0.000 0.750 In
0.500 0.500 0.250 Tm
0.500 0.500 0.750 Tm
0.500 0.000 0.000 Tm
0.000 0.500 0.000 Er
0.500 0.000 0.500 Er
0.000 0.500 0.500 Er
```


Entry Q
Computed, not measured: a geometry-optimized Er3Tm3In2 structure at the PBE-GGA level of DFT.

Computed properties:
Total moment = 0.00 μB per formula unit
Calculated volume = 465 Å³ per cell
Crystal system = orthorhombic
Symmetry = Cmcm, No. 63

```
Er3Tm3In2
1.0
5.103 0.000 0.000
-2.551 5.820 0.000
0.000 0.000 15.670
Tm Er In
6 6 4
Direct
0.958 0.916 0.102 Tm
0.042 0.084 0.602 Tm
0.958 0.916 0.398 Tm
0.749 0.498 0.250 Tm
0.042 0.084 0.898 Tm
0.251 0.502 0.750 Tm
0.358 0.715 0.967 Er
0.642 0.285 0.467 Er
0.467 0.933 0.250 Er
0.533 0.067 0.750 Er
0.642 0.285 0.033 Er
0.358 0.715 0.533 Er
0.774 0.549 0.642 In
0.226 0.451 0.142 In
0.226 0.451 0.358 In
0.774 0.549 0.858 In
```


The data favor entry P; the next most stable structure lies 113 meV per atom above it.


Entry P
Computed, not measured: a geometry-optimized Er2Tm8In structure at the PBE-GGA level of DFT.

Computed properties:
Total moment = 0.00 μB per formula unit
Calculated volume = 322 Å³ per cell
Crystal system = monoclinic
Symmetry = C2/m, No. 12

```
Er2Tm8In
1.0
-3.490 2.495 -2.335
-4.009 -6.548 -1.006
-3.480 -1.925 8.253
Tm Er In
8 2 1
Direct
0.319 0.910 0.637 Tm
0.681 0.090 0.363 Tm
0.591 0.554 0.182 Tm
0.045 0.276 0.089 Tm
0.955 0.724 0.911 Tm
0.409 0.446 0.818 Tm
0.865 0.177 0.730 Tm
0.135 0.823 0.270 Tm
0.777 0.635 0.554 Er
0.223 0.365 0.446 Er
0.500 0.000 0.000 In
```


Entry Q
Computed, not measured: a geometry-optimized Er2Tm8In structure at the PBE-GGA level of DFT.

Computed properties:
Total moment = 0.00 μB per formula unit
Calculated volume = 368 Å³ per cell
Crystal system = monoclinic
Symmetry = C2/m, No. 12

```
Er2Tm8In
1.0
5.782 0.584 0.443
1.022 8.055 -0.708
1.022 1.487 7.948
Tm In Er
8 1 2
Direct
0.718 0.579 0.579 Tm
0.282 0.421 0.421 Tm
0.813 0.153 0.668 Tm
0.187 0.332 0.847 Tm
0.187 0.847 0.332 Tm
0.813 0.668 0.153 Tm
0.117 0.733 0.733 Tm
0.883 0.267 0.267 Tm
0.000 0.000 0.000 In
0.485 0.134 0.134 Er
0.515 0.866 0.866 Er
```


The data favor entry P; the next most stable structure lies 402 meV per atom above it.